Entry from Alexandria: NdMg4Hg5 after structural relaxation (PBE).

a = 3.615 Å, b = 3.615 Å, c = 17.372 Å
α = 90.00°, β = 90.00°, γ = 90.00°
Space group P4/mmm (No. 123)
Symmetry-distinct sites (fractional):
Nd 0.000 0.000 0.000 (multiplicity 1)
Mg 0.000 0.000 0.214 (multiplicity 2)
Mg 0.000 0.000 0.405 (multiplicity 2)
Hg 0.500 0.500 0.119 (multiplicity 2)
Hg 0.500 0.500 0.309 (multiplicity 2)
Hg 0.500 0.500 0.500 (multiplicity 1)

- Formation energy: -289 meV/atom
- Calculated total energy: -1.5550 eV per atom
- Total magnetic moment: 0.028 μB/atom